Entry 1:
# Dy2TmTe2S2 (GGA-PBE, relaxed)
# Raw formation energy   -1.36 eV per atom
# Crystal system   tetragonal
# Magnetization   0.231 μB per formula unit
data_Dy2TmTe2S2
_chemical_formula_sum 'Dy4 Tm2 Te4 S4'
_space_group_name_H-M_alt 'I 4/m m m'
_space_group_IT_number 139
_space_group_name_Hall '-I 4 2'
_cell_length_a 4.9853
_cell_length_b 4.9853
_cell_length_c 15.6043
_cell_angle_alpha 90.00
_cell_angle_beta 90.00
_cell_angle_gamma 90.00
loop_
_atom_site_label
_atom_site_fract_x
_atom_site_fract_y
_atom_site_fract_z
Dy1 0.0000 0.0000 0.1121
Tm1 0.0000 0.0000 0.5000
Te1 0.0000 0.0000 0.3113
S1 0.0000 0.5000 0.0000

=====

Entry 2:
# YRu4Cl (GGA-PBE, relaxed)
# Raw formation energy   0.47 eV per atom
# Crystal system   cubic
# Magnetization   4.679 μB per formula unit
data_YRu4Cl
_chemical_formula_sum 'Y4 Ru16 Cl4'
_space_group_name_H-M_alt 'F -4 3 m'
_space_group_IT_number 216
_space_group_name_Hall 'F -4 2 3'
_cell_length_a 7.5260
_cell_length_b 7.5260
_cell_length_c 7.5260
_cell_angle_alpha 90.00
_cell_angle_beta 90.00
_cell_angle_gamma 90.00
loop_
_atom_site_label
_atom_site_fract_x
_atom_site_fract_y
_atom_site_fract_z
Y1 0.0000 0.0000 0.0000
Ru1 0.1247 0.1247 0.3753
Cl1 0.2500 0.2500 0.7500

=====

Entry 3:
# KSr2LiGe (GGA-PBE, relaxed)
# Crystal system   tetragonal
# Formation energy   -12.2 kJ/mol of atoms
# Magnetization   0.000 μB per formula unit
data_KSr2LiGe
_chemical_formula_sum 'K1 Sr2 Li1 Ge1'
_space_group_name_H-M_alt 'P 4/m m m'
_space_group_IT_number 123
_space_group_name_Hall '-P 4 2'
_cell_length_a 6.2911
_cell_length_b 6.2911
_cell_length_c 5.3526
_cell_angle_alpha 90.00
_cell_angle_beta 90.00
_cell_angle_gamma 90.00
loop_
_atom_site_label
_atom_site_fract_x
_atom_site_fract_y
_atom_site_fract_z
K1 0.0000 0.0000 0.0000
Sr1 0.0000 0.5000 0.5000
Li1 0.5000 0.5000 0.0000
Ge1 0.5000 0.5000 0.5000

=====

Entry 4:
# TbGa2Pd6 (GGA-PBE, relaxed)
# Crystal system   trigonal
# Formation energy   -33.5 kJ/mol of atoms
# Magnetization   0.000 μB per formula unit
data_TbGa2Pd6
_chemical_formula_sum 'Tb1 Ga2 Pd6'
_space_group_name_H-M_alt 'P -3 1 m'
_space_group_IT_number 162
_space_group_name_Hall '-P 3 2'
_cell_length_a 4.8767
_cell_length_b 4.8767
_cell_length_c 8.5596
_cell_angle_alpha 90.00
_cell_angle_beta 90.00
_cell_angle_gamma 120.00
loop_
_atom_site_label
_atom_site_fract_x
_atom_site_fract_y
_atom_site_fract_z
Tb1 0.0000 0.0000 0.0000
Ga1 0.3333 0.6667 0.5000
Pd1 0.0000 0.3419 0.7348

=====

Entry 5:
# AcGe2Mo2C (GGA-PBE, relaxed)
# Crystal system   tetragonal
# Formation energy   -34.5 kJ/mol of atoms
# Magnetization   0.000 μB per formula unit
data_AcGe2Mo2C
_chemical_formula_sum 'Ac1 Ge2 Mo2 C1'
_space_group_name_H-M_alt 'P 4/m m m'
_space_group_IT_number 123
_space_group_name_Hall '-P 4 2'
_cell_length_a 4.3074
_cell_length_b 4.3074
_cell_length_c 5.7638
_cell_angle_alpha 90.00
_cell_angle_beta 90.00
_cell_angle_gamma 90.00
loop_
_atom_site_label
_atom_site_fract_x
_atom_site_fract_y
_atom_site_fract_z
Ac1 0.0000 0.0000 0.0000
Ge1 0.5000 0.5000 0.2286
Mo1 0.0000 0.5000 0.5000
C1 0.0000 0.0000 0.5000

=====

Entry 6:
# MoIrRu2 (GGA-PBE, relaxed)
# E above lowest polymorph   2.76 eV per formula unit
# Crystal system   tetragonal
# Formation energy   50.6 kJ/mol of atoms
# Magnetization   0.000 μB per formula unit
data_MoIrRu2
_chemical_formula_sum 'Mo4 Ir4 Ru8'
_space_group_name_H-M_alt 'I -4 2 d'
_space_group_IT_number 122
_space_group_name_Hall 'I -4 2bw'
_cell_length_a 3.7748
_cell_length_b 3.7748
_cell_length_c 17.8794
_cell_angle_alpha 90.00
_cell_angle_beta 90.00
_cell_angle_gamma 90.00
loop_
_atom_site_label
_atom_site_fract_x
_atom_site_fract_y
_atom_site_fract_z
Mo1 0.0000 0.0000 0.0000
Ir1 0.0000 0.0000 0.5000
Ru1 0.2342 0.2500 0.6250

=====

Entry 7:
# SiNi2Ir (GGA-PBE, relaxed)
# Raw formation energy   -0.26 eV per atom
# Crystal system   orthorhombic
# Magnetization   0.000 μB per formula unit
data_SiNi2Ir
_chemical_formula_sum 'Si2 Ni4 Ir2'
_space_group_name_H-M_alt 'C m m m'
_space_group_IT_number 65
_space_group_name_Hall '-C 2 2'
_cell_length_a 4.9341
_cell_length_b 7.2474
_cell_length_c 2.7296
_cell_angle_alpha 90.00
_cell_angle_beta 90.00
_cell_angle_gamma 90.00
loop_
_atom_site_label
_atom_site_fract_x
_atom_site_fract_y
_atom_site_fract_z
Si1 0.0000 0.0000 0.0000
Ni1 0.2500 0.2500 0.5000
Ir1 0.0000 0.5000 0.0000

=====

Entry 8:
# Mn3SiTe (GGA-PBE, relaxed)
# E above lowest polymorph   0.00 eV per formula unit
# Raw formation energy   0.50 eV per atom
# Crystal system   cubic
# Magnetization   9.012 μB per formula unit
data_Mn3SiTe
_chemical_formula_sum 'Mn3 Si1 Te1'
_space_group_name_H-M_alt 'P m -3 m'
_space_group_IT_number 221
_space_group_name_Hall '-P 4 2 3'
_cell_length_a 4.4792
_cell_length_b 4.4792
_cell_length_c 4.4792
_cell_angle_alpha 90.00
_cell_angle_beta 90.00
_cell_angle_gamma 90.00
loop_
_atom_site_label
_atom_site_fract_x
_atom_site_fract_y
_atom_site_fract_z
Mn1 0.0000 0.0000 0.5000
Si1 0.0000 0.0000 0.0000
Te1 0.5000 0.5000 0.5000

=====

Entry 9:
# Ni2RuBr (GGA-PBE, relaxed)
# E above lowest polymorph   1.00 eV per formula unit
# Raw formation energy   0.73 eV per atom
# Crystal system   orthorhombic
# Magnetization   1.881 μB per formula unit
data_Ni2RuBr
_chemical_formula_sum 'Ni4 Ru2 Br2'
_space_group_name_H-M_alt 'I m m m'
_space_group_IT_number 71
_space_group_name_Hall '-I 2 2'
_cell_length_a 2.9150
_cell_length_b 4.4318
_cell_length_c 8.6149
_cell_angle_alpha 90.00
_cell_angle_beta 90.00
_cell_angle_gamma 90.00
loop_
_atom_site_label
_atom_site_fract_x
_atom_site_fract_y
_atom_site_fract_z
Ni1 0.0000 0.0000 0.2410
Ru1 0.0000 0.5000 0.0000
Br1 0.0000 0.5000 0.5000

=====

Entry 10:
# HfScAl4 (GGA-PBE, relaxed)
# Crystal system   cubic
# Formation energy   -44.4 kJ/mol of atoms
# Magnetization   0.000 μB per formula unit
data_HfScAl4
_chemical_formula_sum 'Hf4 Sc4 Al16'
_space_group_name_H-M_alt 'F -4 3 m'
_space_group_IT_number 216
_space_group_name_Hall 'F -4 2 3'
_cell_length_a 7.5149
_cell_length_b 7.5149
_cell_length_c 7.5149
_cell_angle_alpha 90.00
_cell_angle_beta 90.00
_cell_angle_gamma 90.00
loop_
_atom_site_label
_atom_site_fract_x
_atom_site_fract_y
_atom_site_fract_z
Hf1 0.0000 0.0000 0.0000
Sc1 0.2500 0.2500 0.2500
Al1 0.1251 0.1251 0.6251

=====

Entry 11:
# BeCo2As (GGA-PBE, relaxed)
# E above lowest polymorph   0.48 eV per formula unit
# Crystal system   monoclinic
# Formation energy   -6.0 kJ/mol of atoms
# Magnetization   0.571 μB per formula unit
data_BeCo2As
_chemical_formula_sum 'Be1 Co2 As1'
_space_group_name_H-M_alt 'P 1 m 1'
_space_group_IT_number 6
_cell_length_a 3.0412
_cell_length_b 3.5985
_cell_length_c 4.3447
_cell_angle_alpha 90.00
_cell_angle_beta 110.15
_cell_angle_gamma 90.00
loop_
_space_group_symop_operation_xyz
'x,y,z'
'x,-y,z'
loop_
_atom_site_label
_atom_site_fract_x
_atom_site_fract_y
_atom_site_fract_z
Be1 0.0000 0.0000 0.0000
Co1 0.2731 0.0000 0.5380
Co2 0.5393 0.5000 0.0803
As1 0.8229 0.5000 0.6403

=====

Entry 12:
# CrCoSb2 (GGA-PBE, relaxed)
# Raw formation energy   0.18 eV per atom
# Crystal system   tetragonal
# Magnetization   4.073 μB per formula unit
data_CrCoSb2
_chemical_formula_sum 'Cr1 Co1 Sb2'
_space_group_name_H-M_alt 'P 4 m m'
_space_group_IT_number 99
_cell_length_a 3.2233
_cell_length_b 3.2233
_cell_length_c 7.7442
_cell_angle_alpha 90.00
_cell_angle_beta 90.00
_cell_angle_gamma 90.00
loop_
_space_group_symop_operation_xyz
'x,y,z'
'-y,x,z'
'-x,-y,z'
'y,-x,z'
'-x,y,z'
'y,x,z'
'x,-y,z'
'-y,-x,z'
loop_
_atom_site_label
_atom_site_fract_x
_atom_site_fract_y
_atom_site_fract_z
Cr1 0.0000 0.0000 0.0000
Co1 0.5000 0.5000 0.8308
Sb1 0.0000 0.0000 0.6359
Sb2 0.5000 0.5000 0.2044